A plane-wave DFT calculation with GGA-PBEsol was carried out for an optimized crystal structure of Nb2BS.

Results
formation energy without anion corrections = -0.2640 eV per atom
density of states at the Fermi level = 3.118 states/eV/f.u.

Structure (CIF):
```
data_Nb2BS
_chemical_formula_sum 'Nb8 B4 S4'
_space_group_name_H-M_alt 'F m -3 m'
_space_group_IT_number 225
_space_group_name_Hall '-F 4 2 3'
_cell_length_a 5.9477
_cell_length_b 5.9477
_cell_length_c 5.9477
_cell_angle_alpha 90.00
_cell_angle_beta 90.00
_cell_angle_gamma 90.00
loop_
_atom_site_label
_atom_site_type_symbol
_atom_site_fract_x
_atom_site_fract_y
_atom_site_fract_z
_atom_site_occupancy
Nb1 Nb 0.2500 0.2500 0.2500 1
B1 B 0.0000 0.0000 0.0000 1
S1 S 0.0000 0.0000 0.5000 1
```

A plane-wave DFT calculation with GGA-PBEsol was carried out for an optimized crystal structure of Re3P.

Results
energy of formation from the pure elements = 0.25 eV per atom
excess energy over the best structure of this formula in the dataset = 416 meV per atom
density of states at the Fermi level = 3.181 states/eV/f.u.

Structure (CIF):
```
data_Re3P
_chemical_formula_sum 'Re3 P1'
_space_group_name_H-M_alt 'P 4/m m m'
_space_group_IT_number 123
_space_group_name_Hall '-P 4 2'
_cell_length_a 4.3772
_cell_length_b 4.3772
_cell_length_c 2.9198
_cell_angle_alpha 90.00
_cell_angle_beta 90.00
_cell_angle_gamma 90.00
loop_
_atom_site_label
_atom_site_type_symbol
_atom_site_fract_x
_atom_site_fract_y
_atom_site_fract_z
_atom_site_occupancy
Re1 Re 0.0000 0.0000 0.0000 1
Re2 Re 0.0000 0.5000 0.5000 1
P1 P 0.5000 0.5000 0.0000 1
```

A plane-wave DFT calculation with GGA-PBEsol was carried out for an optimized crystal structure of Ca3Tc2.

Results
energy of formation from the pure elements = 0.88 eV per atom
density of states at the Fermi level = 4.730 states/eV/f.u.

Structure (CIF):
```
data_Ca3Tc2
_chemical_formula_sum 'Ca9 Tc6'
_space_group_name_H-M_alt 'R -3 m'
_space_group_IT_number 166
_space_group_name_Hall '-R 3 2"'
_cell_length_a 3.1705
_cell_length_b 3.1705
_cell_length_c 38.0459
_cell_angle_alpha 90.00
_cell_angle_beta 90.00
_cell_angle_gamma 120.00
loop_
_atom_site_label
_atom_site_type_symbol
_atom_site_fract_x
_atom_site_fract_y
_atom_site_fract_z
_atom_site_occupancy
Ca1 Ca 0.0000 0.0000 0.0000 1
Ca2 Ca 0.0000 0.0000 0.2123 1
Tc1 Tc 0.0000 0.0000 0.3956 1
```

Question: The highest density of states at the Fermi level belongs to which entry?
Answer: Ca3Tc2